Entry 1:
Entry from Alexandria: an optimized crystal structure of NdTmMg6 (PBE).

- DFT total energy (eV per atom) = -2.418
- calculated density (g/cm3) = 3.7

Geometry as CIF:
```
data_NdTmMg6
_chemical_formula_sum 'Nd2 Tm2 Mg12'
_cell_length_a 5.212
_cell_length_b 6.720
_cell_length_c 11.634
_cell_angle_alpha 90.00
_cell_angle_beta 90.00
_cell_angle_gamma 90.00
_symmetry_space_group_name_H-M 'A m m 2'
_symmetry_Int_Tables_number 38
loop_
_symmetry_equiv_pos_as_xyz
'x,y,z'
'-x,-y,z'
'-x,y,z'
'x,-y,z'
'x,y+1/2,z+1/2'
'-x,-y+1/2,z+1/2'
'-x,y+1/2,z+1/2'
'x,-y+1/2,z+1/2'
loop_
_atom_site_label
_atom_site_type_symbol
_atom_site_fract_x
_atom_site_fract_y
_atom_site_fract_z
_atom_site_occupancy
Nd1 Nd 0.000 0.000 0.000 1
Tm1 Tm 0.500 0.000 0.667 1
Mg1 Mg 0.000 0.000 0.499 1
Mg2 Mg 0.000 0.247 0.251 1
Mg3 Mg 0.500 0.000 0.172 1
Mg4 Mg 0.500 0.242 0.415 1
```

***

Entry 2:
Entry from Alexandria: an optimized crystal structure of MgFe2Br (PBE).

- excess energy over the best structure of this formula in the dataset (meV per atom) = 565
- uncorrected formation energy (meV per atom) = 678
- DFT total energy (eV per atom) = -4.370
- calculated density (g/cm3) = 4.9

Geometry as CIF:
```
data_MgFe2Br
_chemical_formula_sum 'Mg4 Fe8 Br4'
_cell_length_a 7.446
_cell_length_b 7.446
_cell_length_c 5.261
_cell_angle_alpha 90.00
_cell_angle_beta 90.00
_cell_angle_gamma 90.00
_symmetry_space_group_name_H-M 'I -4 2 d'
_symmetry_Int_Tables_number 122
_symmetry_space_group_name_Hall 'I -4 2bw'
loop_
_atom_site_label
_atom_site_type_symbol
_atom_site_fract_x
_atom_site_fract_y
_atom_site_fract_z
_atom_site_occupancy
Mg1 Mg 0.000 0.000 0.000 1
Fe1 Fe 0.215 0.250 0.625 1
Br1 Br 0.000 0.000 0.500 1
```

***

Entry 3:
Entry from Alexandria: an optimized crystal structure of DyNp5N6 (PBE).

- uncorrected formation energy (meV per atom) = -1201
- DFT total energy (eV per atom) = -11.139
- calculated density (g/cm3) = 13.6

Geometry as CIF:
```
data_DyNp5N6
_chemical_formula_sum 'Dy2 Np10 N12'
_cell_length_a 5.983
_cell_length_b 10.365
_cell_length_c 5.985
_cell_angle_alpha 90.00
_cell_angle_beta 109.43
_cell_angle_gamma 90.00
_symmetry_space_group_name_H-M 'C 1 2/m 1'
_symmetry_Int_Tables_number 12
loop_
_symmetry_equiv_pos_as_xyz
'x,y,z'
'-x,-y,-z'
'-x,y,-z'
'x,-y,z'
'x+1/2,y+1/2,z'
'-x+1/2,-y+1/2,-z'
'-x+1/2,y+1/2,-z'
'x+1/2,-y+1/2,z'
loop_
_atom_site_label
_atom_site_type_symbol
_atom_site_fract_x
_atom_site_fract_y
_atom_site_fract_z
_atom_site_occupancy
Dy1 Dy 0.000 0.000 0.000 1
Np1 Np 0.000 0.165 0.500 1
Np2 Np 0.000 0.333 0.000 1
Np3 Np 0.000 0.500 0.500 1
N1 N 0.246 0.500 0.252 1
N2 N 0.247 0.331 0.748 1
```

***

Entry 4:
Entry from Alexandria: an optimized crystal structure of Tb2Pm6Pr3Y (PBE).

- DFT total energy (eV per atom) = -4.865
- calculated density (g/cm3) = 6.8

Geometry as CIF:
```
data_Tb2Pm6Pr3Y
_chemical_formula_sum 'Tb4 Pm12 Pr6 Y2'
_cell_length_a 6.324
_cell_length_b 10.955
_cell_length_c 12.084
_cell_angle_alpha 90.00
_cell_angle_beta 100.07
_cell_angle_gamma 90.00
_symmetry_space_group_name_H-M 'C 1 2/m 1'
_symmetry_Int_Tables_number 12
loop_
_symmetry_equiv_pos_as_xyz
'x,y,z'
'-x,-y,-z'
'-x,y,-z'
'x,-y,z'
'x+1/2,y+1/2,z'
'-x+1/2,-y+1/2,-z'
'-x+1/2,y+1/2,-z'
'x+1/2,-y+1/2,z'
loop_
_atom_site_label
_atom_site_type_symbol
_atom_site_fract_x
_atom_site_fract_y
_atom_site_fract_z
_atom_site_occupancy
Tb1 Tb 0.000 0.167 0.000 1
Pm1 Pm 0.248 0.000 0.246 1
Pm2 Pm 0.249 0.333 0.246 1
Pr1 Pr 0.000 0.000 0.500 1
Pr2 Pr 0.000 0.333 0.500 1
Y1 Y 0.000 0.500 0.000 1
```

***

Entry 5:
Entry from Alexandria: an optimized crystal structure of LiPmScAg (PBE).

- DFT total energy (eV per atom) = -4.010
- calculated density (g/cm3) = 5.4

Geometry as CIF:
```
data_LiPmScAg
_chemical_formula_sum 'Li4 Pm4 Sc4 Ag4'
_cell_length_a 7.202
_cell_length_b 7.202
_cell_length_c 7.202
_cell_angle_alpha 90.00
_cell_angle_beta 90.00
_cell_angle_gamma 90.00
_symmetry_space_group_name_H-M 'F -4 3 m'
_symmetry_Int_Tables_number 216
_symmetry_space_group_name_Hall 'F -4 2 3'
loop_
_atom_site_label
_atom_site_type_symbol
_atom_site_fract_x
_atom_site_fract_y
_atom_site_fract_z
_atom_site_occupancy
Li1 Li 0.000 0.000 0.000 1
Pm1 Pm 0.250 0.250 0.250 1
Sc1 Sc 0.250 0.250 0.750 1
Ag1 Ag 0.000 0.000 0.500 1
```

***

Entry 6:
Entry from Alexandria: an optimized crystal structure of Ca2SiHg (PBE).

- uncorrected formation energy (meV per atom) = -280
- DFT total energy (eV per atom) = -2.712
- calculated density (g/cm3) = 4.4

Geometry as CIF:
```
data_Ca2SiHg
_chemical_formula_sum 'Ca4 Si2 Hg2'
_cell_length_a 8.616
_cell_length_b 3.692
_cell_length_c 7.412
_cell_angle_alpha 90.00
_cell_angle_beta 101.30
_cell_angle_gamma 90.00
_symmetry_space_group_name_H-M 'C 1 2/m 1'
_symmetry_Int_Tables_number 12
loop_
_symmetry_equiv_pos_as_xyz
'x,y,z'
'-x,-y,-z'
'-x,y,-z'
'x,-y,z'
'x+1/2,y+1/2,z'
'-x+1/2,-y+1/2,-z'
'-x+1/2,y+1/2,-z'
'x+1/2,-y+1/2,z'
loop_
_atom_site_label
_atom_site_type_symbol
_atom_site_fract_x
_atom_site_fract_y
_atom_site_fract_z
_atom_site_occupancy
Ca1 Ca 0.239 0.000 0.215 1
Si1 Si 0.000 0.500 0.000 1
Hg1 Hg 0.000 0.000 0.500 1
```

***

Entry 7:
Entry from Alexandria: an optimized crystal structure of Er2MgB2Ir5 (PBE).

- DFT total energy (eV per atom) = -7.568
- calculated density (g/cm3) = 15.2

Geometry as CIF:
```
data_Er2MgB2Ir5
_chemical_formula_sum 'Er4 Mg2 B4 Ir10'
_cell_length_a 9.718
_cell_length_b 9.718
_cell_length_c 3.113
_cell_angle_alpha 90.00
_cell_angle_beta 90.00
_cell_angle_gamma 90.00
_symmetry_space_group_name_H-M 'P 4/m b m'
_symmetry_Int_Tables_number 127
_symmetry_space_group_name_Hall '-P 4 2ab'
loop_
_atom_site_label
_atom_site_type_symbol
_atom_site_fract_x
_atom_site_fract_y
_atom_site_fract_z
_atom_site_occupancy
Er1 Er 0.178 0.322 0.000 1
Mg1 Mg 0.000 0.000 0.000 1
B1 B 0.122 0.622 0.000 1
Ir1 Ir 0.000 0.500 0.500 1
Ir2 Ir 0.068 0.777 0.500 1
```

***

Entry 8:
Entry from Alexandria: an optimized crystal structure of ScMn2Re2 (PBE).

- excess energy over the best structure of this formula in the dataset (meV per atom) = 41
- DFT total energy (eV per atom) = -9.770
- calculated density (g/cm3) = 11.9

Geometry as CIF:
```
data_ScMn2Re2
_chemical_formula_sum 'Sc2 Mn4 Re4'
_cell_length_a 7.356
_cell_length_b 7.356
_cell_length_c 2.719
_cell_angle_alpha 90.00
_cell_angle_beta 90.00
_cell_angle_gamma 90.00
_symmetry_space_group_name_H-M 'P 4/m b m'
_symmetry_Int_Tables_number 127
_symmetry_space_group_name_Hall '-P 4 2ab'
loop_
_atom_site_label
_atom_site_type_symbol
_atom_site_fract_x
_atom_site_fract_y
_atom_site_fract_z
_atom_site_occupancy
Sc1 Sc 0.000 0.000 0.000 1
Mn1 Mn 0.147 0.353 0.500 1
Re1 Re 0.146 0.646 0.000 1
```